(1)
Computed, not measured: crystalline ScMnCu2 at its relaxed geometry at the GGA-PBE level of DFT.

Cell: 3.022 4.143 5.145 Å, 90.00 105.95 90.00°
Space group Pm (No. 6)
One atom of each set of equivalent atoms:
Sc1 0.000 0.000 0.000 x1
Mn1 0.302 0.500 0.628 x1
Cu1 0.588 0.500 0.186 x1
Cu2 0.722 0.000 0.471 x1

## Properties
calculated total energy	-5.897	eV per atom
ΔH_f (0 K)	2.6	kJ per mole of atoms
density of states at the Fermi level	0.672	states/eV per atom
size of the total moment	3.65	Bohr magnetons per cell

(2)
Computed, not measured: crystalline YOsSe at its relaxed geometry at the GGA-PBE level of DFT.

Cell: 3.530 4.131 8.587 Å, 90.00 90.00 90.00°
Space group Imm2 (No. 44)
One atom of each set of equivalent atoms:
Y1 0.000 0.000 0.000 x2
Os1 0.000 0.000 0.375 x2
Se1 0.000 0.000 0.659 x2

## Properties
calculated total energy	-7.046	eV per atom
raw formation energy	1.3	kJ per mole of atoms
density of states at the Fermi level	0.658	states/eV per atom
ΔE to the lowest computed polymorph	449	meV per atom
size of the total moment	0.00	Bohr magnetons per cell

(3)
Computed, not measured: crystalline AgP2Se6 at its relaxed geometry at the GGA-PBE level of DFT.

Cell: 6.5389 6.5389 7.8660 Å, 90.00 90.00 120.00°
Space group P-3m1 (No. 164)
One atom of each set of equivalent atoms:
Ag1 0.0000 0.0000 0.0000 x1
P1 0.3333 0.6667 0.0689 x2
Se1 0.1688 0.3375 0.2366 x6

## Properties
calculated total energy	-3.631	eV per atom
raw formation energy	20.3	kJ per mole of atoms
density of states at the Fermi level	0.705	states/eV per atom
ΔE to the lowest computed polymorph	186	meV per atom
size of the total moment	0.00	Bohr magnetons per cell

(4)
Computed, not measured: crystalline Zn6Ir2Pd at its relaxed geometry at the GGA-PBE level of DFT.

Cell: 7.2635 7.2635 2.7942 Å, 90.00 90.00 120.00°
Space group P-31m (No. 162)
One atom of each set of equivalent atoms:
Zn1 0.0000 0.3350 0.0630 x6
Ir1 0.3333 0.6667 0.5000 x2
Pd1 0.0000 0.0000 0.5000 x1

## Properties
calculated total energy	-3.630	eV per atom
ΔH_f (0 K)	-22.6	kJ per mole of atoms
density of states at the Fermi level	0.316	states/eV per atom
size of the total moment	0.00	Bohr magnetons per cell

(5)
Computed, not measured: crystalline Al5Ag7 at its relaxed geometry at the GGA-PBE level of DFT.

Cell: 2.9590 2.9590 27.0754 Å, 90.00 90.00 120.00°
Space group P3m1 (No. 156)
One atom of each set of equivalent atoms:
Al1 0.0000 0.0000 0.0000 x1
Al2 0.0000 0.0000 0.2466 x1
Al3 0.0000 0.0000 0.7492 x1
Al4 0.6667 0.3333 0.1640 x1
Al5 0.6667 0.3333 0.4107 x1
Ag1 0.0000 0.0000 0.4908 x1
Ag2 0.3333 0.6667 0.0826 x1
Ag3 0.3333 0.6667 0.3282 x1
Ag4 0.3333 0.6667 0.5800 x1
Ag5 0.3333 0.6667 0.8297 x1
Ag6 0.6667 0.3333 0.6688 x1
Ag7 0.6667 0.3333 0.9196 x1

## Properties
calculated total energy	-3.250	eV per atom
ΔH_f (0 K)	-2.6	kJ per mole of atoms
density of states at the Fermi level	0.312	states/eV per atom
ΔE to the lowest computed polymorph	21	meV per atom
size of the total moment	0.00	Bohr magnetons per cell

(6)
Computed, not measured: crystalline HoScGe at its relaxed geometry at the GGA-PBE level of DFT.

Cell: 11.335 3.267 7.820 Å, 90.00 109.74 90.00°
Space group C2/m (No. 12)
One atom of each set of equivalent atoms:
Ho1 0.154 0.000 0.117 x4
Sc1 0.134 0.000 0.527 x4
Ge1 0.055 0.500 0.775 x4

## Properties
calculated total energy	-5.669	eV per atom
ΔH_f (0 K)	-47.6	kJ per mole of atoms
density of states at the Fermi level	0.900	states/eV per atom
ΔE to the lowest computed polymorph	212	meV per atom
size of the total moment	0.00	Bohr magnetons per cell

(7)
Computed, not measured: crystalline Rb2VHBr6 at its relaxed geometry at the GGA-PBE level of DFT.

Cell: 10.707 10.707 10.707 Å, 90.00 90.00 90.00°
Space group Fm-3m (No. 225)
One atom of each set of equivalent atoms:
Rb1 0.250 0.250 0.250 x8
V1 0.000 0.000 0.000 x4
H1 0.000 0.000 0.500 x4
Br1 0.000 0.000 0.234 x24

## Properties
calculated total energy	-3.321	eV per atom
density of states at the Fermi level	0.726	states/eV per atom
size of the total moment	8.00	Bohr magnetons per cell

(8)
Computed, not measured: crystalline Ba2GaSiP at its relaxed geometry at the GGA-PBE level of DFT.

Cell: 7.945 4.359 9.878 Å, 90.00 106.97 90.00°
Space group P2_1/m (No. 11)
One atom of each set of equivalent atoms:
Ba1 0.205 0.250 0.411 x2
Ba2 0.229 0.250 0.955 x2
Ga1 0.481 0.750 0.258 x2
Si1 0.350 0.750 0.703 x2
P1 0.177 0.750 0.176 x2

## Properties
calculated total energy	-4.157	eV per atom
raw formation energy	-59.5	kJ per mole of atoms
density of states at the Fermi level	0.089	states/eV per atom
size of the total moment	0.00	Bohr magnetons per cell

(9)
Computed, not measured: crystalline CaInBiN2 at its relaxed geometry at the GGA-PBE level of DFT.

Cell: 4.469 4.469 5.998 Å, 90.00 90.00 90.00°
Space group P4/mmm (No. 123)
One atom of each set of equivalent atoms:
Ca1 0.000 0.000 0.000 x1
In1 0.500 0.500 0.500 x1
Bi1 0.500 0.500 0.000 x1
N1 0.000 0.500 0.500 x2

## Properties
calculated total energy	-3.997	eV per atom
raw formation energy	102.0	kJ per mole of atoms
density of states at the Fermi level	0.843	states/eV per atom
size of the total moment	3.44	Bohr magnetons per cell

(10)
Computed, not measured: crystalline Pm2GdSn at its relaxed geometry at the GGA-PBE level of DFT.

Cell: 7.792 7.792 7.792 Å, 90.00 90.00 90.00°
Space group Fm-3m (No. 225)
One atom of each set of equivalent atoms:
Pm1 0.250 0.250 0.250 x8
Gd1 0.000 0.000 0.000 x4
Sn1 0.000 0.000 0.500 x4

## Properties
calculated total energy	-7.193	eV per atom
ΔH_f (0 K)	-28.6	kJ per mole of atoms
density of states at the Fermi level	1.425	states/eV per atom
ΔE to the lowest computed polymorph	157	meV per atom
size of the total moment	31.79	Bohr magnetons per cell

(11)
Computed, not measured: crystalline DyTmGeAu at its relaxed geometry at the GGA-PBE level of DFT.

Cell: 4.291 4.027 10.850 Å, 90.00 90.00 90.00°
Space group Amm2 (No. 38)
One atom of each set of equivalent atoms:
Dy1 0.000 0.000 0.000 x2
Tm1 0.500 0.000 0.721 x2
Ge1 0.000 0.000 0.273 x2
Au1 0.500 0.000 0.445 x2

## Properties
calculated total energy	-5.103	eV per atom
ΔH_f (0 K)	-83.1	kJ per mole of atoms
density of states at the Fermi level	0.551	states/eV per atom
ΔE to the lowest computed polymorph	0	meV per atom
size of the total moment	0.00	Bohr magnetons per cell

(12)
Computed, not measured: crystalline Tb3PrEr2S6 at its relaxed geometry at the GGA-PBE level of DFT.

Cell: 6.814 11.840 6.809 Å, 90.00 109.54 90.00°
Space group C2/m (No. 12)
One atom of each set of equivalent atoms:
Tb1 0.000 0.000 0.000 x2
Tb2 0.000 0.340 0.000 x4
Pr1 0.000 0.500 0.500 x2
Er1 0.000 0.166 0.500 x4
S1 0.236 0.000 0.748 x4
S2 0.243 0.173 0.247 x8

## Properties
calculated total energy	-6.371	eV per atom
raw formation energy	-192.1	kJ per mole of atoms
density of states at the Fermi level	0.387	states/eV per atom
size of the total moment	0.00	Bohr magnetons per cell

(13)
Computed, not measured: crystalline V3AgH at its relaxed geometry at the GGA-PBE level of DFT.

Cell: 3.914 3.914 3.914 Å, 90.00 90.00 90.00°
Space group Pm-3m (No. 221)
One atom of each set of equivalent atoms:
V1 0.000 0.000 0.500 x3
Ag1 0.500 0.500 0.500 x1
H1 0.000 0.000 0.000 x1

## Properties
calculated total energy	-6.551	eV per atom
density of states at the Fermi level	1.006	states/eV per atom
ΔE to the lowest computed polymorph	0	meV per atom
size of the total moment	1.52	Bohr magnetons per cell

(14)
Computed, not measured: crystalline NaPuGe2Br8 at its relaxed geometry at the GGA-PBE level of DFT.

Cell: 6.695 6.969 8.468 Å, 89.91 89.94 88.77°
Space group P-1 (No. 2)
One atom of each set of equivalent atoms:
Na1 0.000 0.000 0.000 x1
Pu1 0.000 0.000 0.500 x1
Ge1 0.499 0.499 0.238 x2
Br1 0.245 0.833 0.254 x2
Br2 0.246 0.834 0.746 x2
Br3 0.258 0.328 0.499 x2
Br4 0.278 0.352 0.001 x2

## Properties
calculated total energy	-4.200	eV per atom
raw formation energy	-97.5	kJ per mole of atoms
density of states at the Fermi level	0.917	states/eV per atom
size of the total moment	5.00	Bohr magnetons per cell

(15)
Computed, not measured: crystalline Pm3Ga7Ru2 at its relaxed geometry at the GGA-PBE level of DFT.

Cell: 4.242 4.209 13.886 Å, 90.00 98.70 90.00°
Space group P2/m (No. 10)
One atom of each set of equivalent atoms:
Pm1 0.000 0.000 0.000 x1
Pm2 0.319 0.500 0.640 x2
Ga1 0.083 0.500 0.166 x2
Ga2 0.224 0.000 0.447 x2
Ga3 0.417 0.000 0.834 x2
Ga4 0.500 0.500 0.000 x1
Ru1 0.130 0.000 0.263 x2

## Properties
calculated total energy	-5.040	eV per atom
ΔH_f (0 K)	-52.2	kJ per mole of atoms
density of states at the Fermi level	0.671	states/eV per atom
size of the total moment	0.00	Bohr magnetons per cell

(16)
Computed, not measured: crystalline TbScMn at its relaxed geometry at the GGA-PBE level of DFT.

Cell: 6.299 11.939 7.367 Å, 90.00 90.00 90.00°
Space group Cmce (No. 64)
One atom of each set of equivalent atoms:
Tb1 0.000 0.194 0.106 x8
Sc1 0.250 0.047 0.750 x8
Mn1 0.000 0.094 0.451 x8

## Properties
calculated total energy	-6.586	eV per atom
ΔH_f (0 K)	12.0	kJ per mole of atoms
density of states at the Fermi level	1.379	states/eV per atom
ΔE to the lowest computed polymorph	0	meV per atom
size of the total moment	10.76	Bohr magnetons per cell

(17)
Computed, not measured: crystalline Li2Al2Cr at its relaxed geometry at the GGA-PBE level of DFT.

Cell: 7.117 7.117 2.737 Å, 90.00 90.00 90.00°
Space group P4/mbm (No. 127)
One atom of each set of equivalent atoms:
Li1 0.155 0.345 0.000 x4
Al1 0.145 0.645 0.500 x4
Cr1 0.000 0.000 0.500 x2

## Properties
calculated total energy	-3.902	eV per atom
ΔH_f (0 K)	27.5	kJ per mole of atoms
density of states at the Fermi level	0.499	states/eV per atom
size of the total moment	0.22	Bohr magnetons per cell

(18)
Computed, not measured: crystalline NaPmSn2Se4 at its relaxed geometry at the GGA-PBE level of DFT.

Cell: 7.316 4.264 7.479 Å, 90.00 108.60 90.00°
Space group P2/m (No. 10)
One atom of each set of equivalent atoms:
Na1 0.000 0.000 0.000 x1
Pm1 0.500 0.500 0.000 x1
Sn1 0.000 0.500 0.500 x1
Sn2 0.500 0.000 0.500 x1
Se1 0.258 0.000 0.759 x2
Se2 0.258 0.500 0.247 x2

## Properties
calculated total energy	-4.510	eV per atom
raw formation energy	-97.3	kJ per mole of atoms
size of the total moment	0.00	Bohr magnetons per cell

(19)
Computed, not measured: crystalline BeW at its relaxed geometry at the GGA-PBE level of DFT.

Cell: 9.238 2.656 6.569 Å, 90.00 109.93 90.00°
Space group Cm (No. 8)
One atom of each set of equivalent atoms:
Be1 0.000 0.000 0.000 x2
Be2 0.072 0.000 0.505 x2
Be3 0.156 0.500 0.291 x2
W1 0.184 0.500 0.851 x2
W2 0.369 0.000 0.629 x2
W3 0.370 0.000 0.221 x2

## Properties
calculated total energy	-8.133	eV per atom
ΔH_f (0 K)	20.0	kJ per mole of atoms
density of states at the Fermi level	0.332	states/eV per atom
ΔE to the lowest computed polymorph	435	meV per atom
size of the total moment	0.00	Bohr magnetons per cell

(20)
Computed, not measured: crystalline La4Re2Bi at its relaxed geometry at the GGA-PBE level of DFT.

Cell: 6.140 6.140 13.617 Å, 90.00 90.00 90.00°
Space group I4/mmm (No. 139)
One atom of each set of equivalent atoms:
La1 0.000 0.000 0.232 x4
La2 0.000 0.500 0.000 x4
Re1 0.000 0.000 0.411 x4
Bi1 0.000 0.000 0.000 x2

## Properties
calculated total energy	-6.454	eV per atom
ΔH_f (0 K)	45.6	kJ per mole of atoms
density of states at the Fermi level	1.201	states/eV per atom
size of the total moment	0.00	Bohr magnetons per cell